[1]
SrBCl6 | GGA-PBE | relaxed

## Properties
Density of states at the Fermi level, states/eV/f.u.: 9.43

Cell: 9.3548 9.3548 7.4886 Å, 90.00 90.00 120.00°
Space group R-3m (No. 166, hexagonal axes)
Asymmetric unit:
Sr (0.0000, 0.0000, 0.0000) (multiplicity 3)
B (0.0000, 0.0000, 0.5000) (multiplicity 3)
Cl (0.1061, 0.2123, 0.6653) (multiplicity 18)

=====

[2]
SrBCl5 | GGA-PBE | relaxed

## Properties
Density of states at the Fermi level, states/eV/f.u.: 0.00

Cell: 9.577 10.236 9.650 Å, 90.00 116.30 90.00°
Space group C2/c (No. 15)
Asymmetric unit:
Sr (0.250, 0.250, 0.000) (multiplicity 4)
B (0.000, 0.102, 0.250) (multiplicity 4)
Cl (0.000, 0.366, 0.750) (multiplicity 4)
Cl (0.020, 0.207, 0.415) (multiplicity 8)
Cl (0.179, 0.001, 0.809) (multiplicity 8)

=====

[3]
SrBCl2 | GGA-PBE | relaxed

## Properties
Density of states at the Fermi level, states/eV/f.u.: 1.10
Polymorph energy (0 for the lowest one), meV per atom: 0

Cell: 4.4324 4.4324 25.4832 Å, 90.00 90.00 120.00°
Space group R-3m (No. 166, hexagonal axes)
Asymmetric unit:
Sr (0.0000, 0.0000, 0.0000) (multiplicity 3)
B (0.0000, 0.0000, 0.5000) (multiplicity 3)
Cl (0.0000, 0.0000, 0.3879) (multiplicity 6)

=====

M_tot across the listed records, respectively: 0.2 0.1 1.0 μB per formula unit.
E_form (uncorrected) across the listed records, respectively: -0.8498 -1.5350 -0.3626 eV per atom.